(1)
Compound: ReTcPb3
Source: Alexandria
Functional: PBE
Structure: optimized geometry

a b c (Å): 5.3180 5.3180 5.3180
angles (deg): 90.00 90.00 90.00
Site moments in Bohr magnetons follow the coordinates.
Fractional positions:
Pb 0.0000 0.5000 0.0000  -0.02
Pb 0.0000 0.0000 0.5000  -0.03
Pb 0.5000 0.0000 0.0000  -0.02
Re 0.0000 0.0000 0.0000  0.18
Tc 0.5000 0.5000 0.5000  3.40

Energy above the lowest structure with this stoichiometry ... 0.00 eV per formula unit
DFT formation energy ... 1.39 eV per atom
Density of states at the Fermi level ... 0.89 states/eV per atom

(2)
Compound: KTa2CuTe
Source: Alexandria
Functional: PBE
Structure: optimized geometry

a b c (Å): 5.1969 5.0544 5.1969
angles (deg): 90.00 90.00 90.00
Site moments in Bohr magnetons follow the coordinates.
Fractional positions:
K 0.5000 0.5000 0.5000  0.01
Te 0.0000 0.0000 0.0000  -0.01
Cu 0.0000 0.5000 0.0000  0.01
Ta 0.0000 0.0000 0.5000  0.40
Ta 0.5000 0.0000 0.0000  0.31

Electronic total energy ... -0.1779 hartree per atom
Density of states at the Fermi level ... 1.18 states/eV per atom

(3)
Compound: LaGa2F8
Source: Alexandria
Functional: PBE
Structure: optimized geometry

a b c (Å): 6.1926 5.9791 5.9791
angles (deg): 51.34 78.47 78.47
Fractional positions:
La 0.0000 0.0000 0.0000
Ga 0.6709 0.7721 0.7721
Ga 0.3291 0.2279 0.2279
F 0.1994 0.3752 0.8962
F 0.8006 0.1038 0.6248
F 0.3573 0.8500 0.8500
F 0.6427 0.1500 0.1500
F 0.1994 0.8962 0.3752
F 0.8006 0.6248 0.1038
F 0.8221 0.6032 0.6032
F 0.1779 0.3968 0.3968

Energy above the lowest structure with this stoichiometry ... 0.51 eV per formula unit
Density of states at the Fermi level ... 0.22 states/eV per atom

(4)
Compound: Ba2ZrRe
Source: Alexandria
Functional: PBE
Structure: optimized geometry

a b c (Å): 3.5874 3.5874 10.4271
angles (deg): 90.00 90.00 90.00
Site moments in Bohr magnetons follow the coordinates.
Fractional positions:
Ba 0.0000 0.0000 0.9467  0.17
Ba 0.5000 0.5000 0.3341  0.04
Re 0.0000 0.0000 0.5535  0.20
Zr 0.5000 0.5000 0.6657  0.04

Energy above the lowest structure with this stoichiometry ... 0.00 eV per formula unit
DFT formation energy ... 0.45 eV per atom
Density of states at the Fermi level ... 1.15 states/eV per atom

(5)
Compound: Ta3BP
Source: Alexandria
Functional: PBE
Structure: optimized geometry

a b c (Å): 4.3026 4.3026 4.3026
angles (deg): 90.00 90.00 90.00
Fractional positions:
P 0.5000 0.5000 0.5000
B 0.0000 0.0000 0.0000
Ta 0.0000 0.5000 0.0000
Ta 0.0000 0.0000 0.5000
Ta 0.5000 0.0000 0.0000

Energy above the lowest structure with this stoichiometry ... 4.12 eV per formula unit
DFT formation energy ... 0.28 eV per atom
Density of states at the Fermi level ... 1.45 states/eV per atom

(6)
Compound: SiNiAsCl2
Source: Alexandria
Functional: PBE
Structure: optimized geometry

a b c (Å): 4.4984 5.2306 4.4984
angles (deg): 90.00 90.00 90.00
Site moments in Bohr magnetons follow the coordinates.
Fractional positions:
Ni 0.5000 0.5000 0.5000  -0.20
As 0.0000 0.5000 0.0000  0.00
Si 0.0000 0.0000 0.0000  -0.01
Cl 0.0000 0.0000 0.5000  0.00
Cl 0.5000 0.0000 0.0000  0.00

Electronic total energy ... -0.1242 hartree per atom
Density of states at the Fermi level ... 2.11 states/eV per atom

(7)
Compound: HoTmAl6
Source: Alexandria
Functional: PBE
Structure: optimized geometry

a b c (Å): 5.4754 5.4754 5.4754
angles (deg): 90.00 90.00 90.00
Fractional positions:
Ho 0.5000 0.5000 0.5000
Tm 0.0000 0.0000 0.0000
Al 0.5000 0.7501 0.0000
Al 0.7501 0.0000 0.5000
Al 0.0000 0.5000 0.2499
Al 0.2499 0.0000 0.5000
Al 0.5000 0.2499 0.0000
Al 0.0000 0.5000 0.7501

Energy above the lowest structure with this stoichiometry ... 2.50 eV per formula unit
DFT formation energy ... -0.09 eV per atom
Density of states at the Fermi level ... 0.64 states/eV per atom

(8)
Compound: BeCo3Ir
Source: Alexandria
Functional: PBE
Structure: optimized geometry

a b c (Å): 3.8559 3.8559 3.8559
angles (deg): 90.00 90.00 90.00
Site moments in Bohr magnetons follow the coordinates.
Fractional positions:
Be 0.0000 0.0000 0.0000  -0.12
Ir 0.5000 0.5000 0.5000  0.77
Co 0.0000 0.5000 0.0000  1.49
Co 0.0000 0.0000 0.5000  1.43
Co 0.5000 0.0000 0.0000  1.57

Energy above the lowest structure with this stoichiometry ... 0.00 eV per formula unit
DFT formation energy ... 0.47 eV per atom
Density of states at the Fermi level ... 1.12 states/eV per atom

(9)
Compound: HgIr3
Source: Alexandria
Functional: PBE
Structure: optimized geometry

a b c (Å): 2.8106 2.8106 8.1271
angles (deg): 90.00 90.00 90.00
Fractional positions:
Hg 0.0000 0.0000 0.0000
Ir 0.0000 0.0000 0.5000
Ir 0.5000 0.5000 0.2756
Ir 0.5000 0.5000 0.7244

DFT formation energy ... 0.29 eV per atom
Density of states at the Fermi level ... 1.23 states/eV per atom

(10)
Compound: CaZn7Ag12
Source: Alexandria
Functional: PBE
Structure: optimized geometry

a b c (Å): 8.3325 8.3325 8.3325
angles (deg): 109.47 109.47 109.47
Fractional positions:
Ca 0.0000 0.0000 0.0000
Zn 0.5000 0.0000 0.5000
Zn 0.5000 0.5000 0.0000
Zn 0.0000 0.5000 0.5000
Zn 0.0000 0.0000 0.5000
Zn 0.5000 0.0000 0.0000
Zn 0.5000 0.5000 0.5000
Zn 0.0000 0.5000 0.0000
Ag 0.2728 0.1527 0.4255
Ag 0.2728 0.8473 0.1202
Ag 0.7272 0.8473 0.5745
Ag 0.7272 0.1527 0.8798
Ag 0.4255 0.2728 0.1527
Ag 0.8798 0.7272 0.1527
Ag 0.5745 0.7272 0.8473
Ag 0.1202 0.2728 0.8473
Ag 0.8473 0.1202 0.2728
Ag 0.1527 0.8798 0.7272
Ag 0.1527 0.4255 0.2728
Ag 0.8473 0.5745 0.7272

DFT formation energy ... 0.23 eV per atom
Density of states at the Fermi level ... 0.25 states/eV per atom

(11)
Compound: Ta2AlPb
Source: Alexandria
Functional: PBE
Structure: optimized geometry

a b c (Å): 3.5639 3.5639 6.0917
angles (deg): 90.00 90.00 90.00
Fractional positions:
Pb 0.5000 0.5000 0.7500
Al 0.5000 0.5000 0.2500
Ta 0.0000 0.0000 0.0305
Ta 0.0000 0.0000 0.4695

DFT formation energy ... 0.40 eV per atom
Density of states at the Fermi level ... 0.60 states/eV per atom

(12)
Compound: CaCS2
Source: Alexandria
Functional: PBE
Structure: optimized geometry

a b c (Å): 7.9022 7.9022 7.9022
angles (deg): 24.39 24.39 24.39
Site moments in Bohr magnetons follow the coordinates.
Fractional positions:
C 0.5000 0.5000 0.5000  0.00
Ca 0.0000 0.0000 0.0000  0.10
S 0.8853 0.8853 0.8853  0.01
S 0.1147 0.1147 0.1147  0.01

Electronic total energy ... -0.1399 hartree per atom
Density of states at the Fermi level ... 0.77 states/eV per atom